Density functional theory data (PBE) for a geometry-optimized HgMo structure.

Summary:
Its volume is 148 Å³ per cell. Its space group is No. 198. Its total energy is -4.65 eV/atom. The calculation puts the formation energy from the elements at 0.917 eV per atom.

Cell lengths 5.294, 5.294, 5.294 Å; angles 90.00, 90.00, 90.00 degrees
Element x y z (fractional)
Hg 0.597 0.903 0.097
Hg 0.903 0.097 0.597
Hg 0.403 0.403 0.403
Hg 0.097 0.597 0.903
Mo 0.400 0.900 0.600
Mo 0.600 0.400 0.900
Mo 0.900 0.600 0.400
Mo 0.100 0.100 0.100